Record 1
NaSrIn2Pt: optimized geometry, PBE.

The structure belongs to space group P4/mmm (No. 123); the cell edges are 5.2197, 5.2197 and 5.4233 Å and the angles 90.00°, 90.00° and 90.00°. Symmetry generates all atoms from Na at (0.0000, 0.0000, 0.0000), Sr at (0.5000, 0.5000, 0.0000), In at (0.0000, 0.5000, 0.5000) and Pt at (0.0000, 0.0000, 0.5000).

The value obtained for the calculated total energy is -16.0 eV per cell. The energy above the most stable polymorph in this dataset is 0.032 eV per atom. The value obtained for the formation energy is -0.3044 eV/atom. The calculation puts the spin magnetization at 0.0 μB per formula unit.



Record 2
DyZnGaAg: optimized geometry, PBE.

The structure belongs to space group F-43m (No. 216); the cell edges are 6.7405, 6.7405 and 6.7405 Å and the angles 90.00°, 90.00° and 90.00°. Symmetry generates all atoms from Dy at (0.0000, 0.0000, 0.0000), Zn at (0.2500, 0.2500, 0.2500), Ga at (0.2500, 0.2500, 0.7500) and Ag at (0.0000, 0.0000, 0.5000).

The value obtained for the calculated total energy is -52.3 eV per cell. The value obtained for the formation energy is -0.3297 eV/atom. The calculation puts the spin magnetization at 0.0 μB per formula unit.



Record 3
Ho4Cd3Pt: optimized geometry, PBE.

The structure belongs to space group P4/mmm (No. 123); the cell edges are 3.6330, 3.6330 and 14.8541 Å and the angles 90.00°, 90.00° and 90.00°. Symmetry generates all atoms from Ho at (0.0000, 0.0000, 0.1087), Ho at (0.0000, 0.0000, 0.3696), Cd at (0.5000, 0.5000, 0.2433), Cd at (0.5000, 0.5000, 0.5000) and Pt at (0.5000, 0.5000, 0.0000).

The value obtained for the calculated total energy is -31.6 eV per cell. The value obtained for the formation energy is -0.5586 eV/atom. The calculation puts the spin magnetization at 0.0 μB per formula unit.



| no. | ρ (g cm⁻³) |
| --- | --- |
| 1 | 6.0 |
| 2 | 8.8 |
| 3 | 10.1 |